Density functional theory data (GGA-PBE) for Sm2Y3Tm5 after structural relaxation.

The structure belongs to space group C2/c (No. 15); the cell edges are 10.5667, 15.6828 and 9.4103 Å and the angles 90.00°, 123.75° and 90.00°. The distinct sites, in fractional coordinates, are Sm at (0.1431, 0.1239, 0.0489), Y at (0.0000, 0.2701, 0.7500), Y at (0.1570, 0.3797, 0.5484), Tm at (0.0000, 0.0224, 0.2500), Tm at (0.0000, 0.2310, 0.2500), Tm at (0.0000, 0.4715, 0.7500) and Tm at (0.2344, 0.3839, 0.2234).

The calculation puts the energy of formation from the pure elements at 199 meV per atom. As for the crystal system: monoclinic.


Density functional theory data (GGA-PBE) for BaSnBi after structural relaxation.

The structure belongs to space group Cmcm (No. 63); the cell edges are 4.8994, 12.6435 and 7.1094 Å and the angles 90.00°, 90.00° and 90.00°. The distinct sites, in fractional coordinates, are Ba at (0.0000, 0.1822, 0.2500), Sn at (0.0000, 0.5000, 0.0000) and Bi at (0.0000, 0.1057, 0.7500).

The calculation puts the energy of formation from the pure elements at -586 meV per atom. As for the crystal system: orthorhombic.


Density functional theory data (GGA-PBE) for ZrNbMo3 after structural relaxation.

The structure belongs to space group Pm-3m (No. 221); the cell edges are 4.7533, 4.7533 and 4.7533 Å and the angles 90.00°, 90.00° and 90.00°. The distinct sites, in fractional coordinates, are Zr at (0.0000, 0.0000, 0.0000), Nb at (0.5000, 0.5000, 0.5000) and Mo at (0.0000, 0.5000, 0.5000).

The calculation puts the energy of formation from the pure elements at 1428 meV per atom. As for the crystal system: cubic.


Density functional theory data (GGA-PBE) for CdHg2Te after structural relaxation.

The structure belongs to space group Pmmm (No. 47); the cell edges are 3.1637, 3.9414 and 8.5476 Å and the angles 90.00°, 90.00° and 90.00°. The distinct sites, in fractional coordinates, are Cd at (0.0000, 0.0000, 0.0000), Hg at (0.5000, 0.5000, 0.2296) and Te at (0.0000, 0.0000, 0.5000).

The calculation puts the energy relative to the elements, uncorrected at 0.08 eV/atom. As for the crystal system: orthorhombic.


Density functional theory data (GGA-PBE) for Sm9Sc2Tl after structural relaxation.

The structure belongs to space group P4/mmm (No. 123); the cell edges are 4.9611, 4.9611 and 15.0898 Å and the angles 90.00°, 90.00° and 90.00°. The distinct sites, in fractional coordinates, are Sm at (0.0000, 0.0000, 0.0000), Sm at (0.0000, 0.0000, 0.3336), Sm at (0.0000, 0.5000, 0.1669), Sm at (0.0000, 0.5000, 0.5000), Sc at (0.5000, 0.5000, 0.3341) and Tl at (0.5000, 0.5000, 0.0000).

The calculation puts the energy of formation from the pure elements at -37 meV per atom. As for the crystal system: tetragonal.


Density functional theory data (GGA-PBE) for LiSi2Au after structural relaxation.

The structure belongs to space group Pmmm (No. 47); the cell edges are 3.0277, 4.2376 and 5.0730 Å and the angles 90.00°, 90.00° and 90.00°. The distinct sites, in fractional coordinates, are Li at (0.0000, 0.0000, 0.0000), Si at (0.5000, 0.5000, 0.2322) and Au at (0.5000, 0.0000, 0.5000).

The calculation puts the energy relative to the elements, uncorrected at -0.10 eV/atom. As for the crystal system: orthorhombic.


Density functional theory data (GGA-PBE) for KZnTc2Se after structural relaxation.

The structure belongs to space group P4/mmm (No. 123); the cell edges are 5.1562, 5.1562 and 5.4433 Å and the angles 90.00°, 90.00° and 90.00°. The distinct sites, in fractional coordinates, are K at (0.0000, 0.0000, 0.0000), Zn at (0.5000, 0.5000, 0.5000), Tc at (0.0000, 0.5000, 0.0000) and Se at (0.0000, 0.0000, 0.5000).

The calculation puts the energy relative to the elements, uncorrected at 2.48 eV/atom. As for the crystal system: tetragonal.


Density functional theory data (GGA-PBE) for Sr2AlAg2Au4 after structural relaxation.

The structure belongs to space group I4/mmm (No. 139); the cell edges are 6.7934, 6.7934 and 8.9860 Å and the angles 90.00°, 90.00° and 90.00°. The distinct sites, in fractional coordinates, are Sr at (0.0000, 0.5000, 0.2500), Al at (0.0000, 0.0000, 0.0000), Ag at (0.0000, 0.0000, 0.2935) and Au at (0.2320, 0.2320, 0.5000).

The calculation puts the energy of formation from the pure elements at -480 meV per atom. As for the crystal system: tetragonal.